[1]
Entry from Alexandria via LeMat-Bulk: a geometry-optimized NbInSb2I structure (PBE).

Values from the calculation:
Total magnetic moment, μB/f.u.: 0.00
E above lowest polymorph, eV per atom: 0.000
Energy relative to the elements, uncorrected, eV per atom: 0.2331

abc: 5.508 5.508 6.063
angles: 90.00 90.00 90.00
Space group P4/mmm (No. 123)
One atom of each set of equivalent atoms:
Nb (0.000, 0.000, 0.000)
In (0.500, 0.500, 0.500)
Sb (0.000, 0.500, 0.000)
I (0.000, 0.000, 0.500)

[2]
Entry from Alexandria via LeMat-Bulk: a geometry-optimized Y2AlHg structure (PBE).

Values from the calculation:
Total magnetic moment, μB/f.u.: 0.00
E above lowest polymorph, eV per atom: 0.000

abc: 3.631 3.631 7.514
angles: 90.00 90.00 90.00
Space group P4/mmm (No. 123)
One atom of each set of equivalent atoms:
Y (0.000, 0.000, 0.241)
Al (0.500, 0.500, 0.000)
Hg (0.500, 0.500, 0.500)

[3]
Entry from Alexandria via LeMat-Bulk: a geometry-optimized Dy2CuP3Ir4 structure (PBE).

Values from the calculation:
DFT total energy, eV/atom: -7.371
Total magnetic moment, μB/f.u.: 0.00

abc: 4.059 4.059 9.894
angles: 90.00 90.00 90.00
Space group P-4m2 (No. 115)
One atom of each set of equivalent atoms:
Dy (0.000, 0.500, 0.244)
Cu (0.500, 0.500, 0.000)
P (0.000, 0.000, 0.000)
P (0.000, 0.500, 0.637)
Ir (0.000, 0.000, 0.500)
Ir (0.000, 0.500, 0.865)
Ir (0.500, 0.500, 0.500)

[4]
Entry from Alexandria via LeMat-Bulk: a geometry-optimized Ce4PuTl structure (PBE).

Values from the calculation:
DFT total energy, eV/atom: -6.833
Total magnetic moment, μB/f.u.: 0.00

abc: 16.430 7.167 5.624
angles: 90.00 106.45 90.00
Space group C2/m (No. 12)
One atom of each set of equivalent atoms:
Ce (0.000, 0.228, 0.000)
Ce (0.126, 0.261, 0.630)
Ce (0.183, 0.000, 0.220)
Pu (0.048, 0.000, 0.375)
Tl (0.187, 0.500, 0.176)

[5]
Entry from Alexandria via LeMat-Bulk: a geometry-optimized Sr2TlPS structure (PBE).

Values from the calculation:
Total magnetic moment, μB/f.u.: 0.00
Energy relative to the elements, uncorrected, eV per atom: -0.1065

abc: 6.217 6.217 4.797
angles: 90.00 90.00 90.00
Space group P4/mmm (No. 123)
One atom of each set of equivalent atoms:
Sr (0.000, 0.500, 0.000)
Tl (0.000, 0.000, 0.000)
P (0.000, 0.000, 0.500)
S (0.500, 0.500, 0.500)

[6]
Entry from Alexandria via LeMat-Bulk: a geometry-optimized LaIrSF structure (PBE).

Values from the calculation:
Total magnetic moment, μB/f.u.: 0.00
E above lowest polymorph, eV per atom: 0.000
Energy relative to the elements, uncorrected, eV per atom: -1.7857

abc: 7.052 4.024 5.746
angles: 90.00 113.87 90.00
Space group Cm (No. 8)
One atom of each set of equivalent atoms:
La (0.000, 0.000, 0.000)
Ir (0.204, 0.000, 0.606)
S (0.012, 0.500, 0.537)
F (0.204, 0.500, 0.110)

[7]
Entry from Alexandria via LeMat-Bulk: a geometry-optimized Ba8NaN4 structure (PBE).

Values from the calculation:
Total magnetic moment, μB/f.u.: 0.01
Energy relative to the elements, uncorrected, eV per atom: -0.3264

abc: 22.095 3.921 14.749
angles: 90.00 129.36 90.00
Space group Cm (No. 8)
One atom of each set of equivalent atoms:
Ba (0.000, 0.000, 0.000)
Ba (0.020, 0.000, 0.776)
Ba (0.070, 0.000, 0.487)
Ba (0.140, 0.500, 0.343)
Ba (0.188, 0.500, 0.050)
Ba (0.210, 0.500, 0.828)
Ba (0.286, 0.000, 0.657)
Ba (0.424, 0.000, 0.173)
Na (0.354, 0.000, 0.413)
N (0.029, 0.000, 0.272)
N (0.035, 0.500, 0.920)
N (0.174, 0.000, 0.906)
N (0.180, 0.500, 0.559)

[8]
Entry from Alexandria via LeMat-Bulk: a geometry-optimized LaHo6Er3Th2 structure (PBE).

Values from the calculation:
DFT total energy, eV/atom: -5.044
Total magnetic moment, μB/f.u.: 0.00

abc: 6.167 10.671 11.691
angles: 90.00 100.13 90.00
Space group C2/m (No. 12)
One atom of each set of equivalent atoms:
La (0.000, 0.000, 0.000)
Ho (0.245, 0.500, 0.250)
Ho (0.247, 0.331, 0.750)
Er (0.000, 0.167, 0.500)
Er (0.000, 0.500, 0.500)
Th (0.000, 0.333, 0.000)

Question: total magnetic moment of number 8 (LaHo6Er3Th2)?
Answer: 0.00 μB/f.u.

Question: Which value of total magnetic moment does entry 4 give?
Answer: 0.00 μB/f.u.

Question: Which of these has the highest total magnetic moment?
Answer: Ba8NaN4